## HfTlTe2Cl (GGA-PBE)

Data for a relaxed structure of HfTlTe2Cl.

Output
Its raw formation energy is -0.7613 eV/atom. As for the total moment: 0.00 Bohr magnetons per cell. Its offset from the most stable computed form is 159 meV per atom. As for the space group: No. 123.

a = 5.672 Å, b = 5.672 Å, c = 4.984 Å
α = 90.00°, β = 90.00°, γ = 90.00°
Positions (direct):
Hf1 0.000 0.000 0.000
Tl1 0.500 0.500 0.500
Te1 0.000 0.500 0.000
Te2 0.500 0.000 0.000
Cl1 0.000 0.000 0.500

---

## Pm2Nd7 (GGA-PBE)

Data for a relaxed structure of Pm2Nd7.

Output
As for the total moment: 0.00 Bohr magnetons per cell. Its formation enthalpy at 0 K is 37 meV per atom. Its offset from the most stable computed form is 26 meV per atom. As for the space group: No. 189.

a = 10.059 Å, b = 10.059 Å, c = 3.603 Å
α = 90.00°, β = 90.00°, γ = 120.00°
Positions (direct):
Pm1 0.333 0.667 0.000
Pm2 0.667 0.333 0.000
Nd1 0.000 0.000 0.500
Nd2 0.000 0.355 0.500
Nd3 0.000 0.689 0.000
Nd4 0.311 0.311 0.000
Nd5 0.355 0.000 0.500
Nd6 0.645 0.645 0.500
Nd7 0.689 0.000 0.000

---

## AlInNF2 (GGA-PBE)

Data for a relaxed structure of AlInNF2.

Output
Its raw formation energy is -0.6533 eV/atom. As for the total moment: 0.00 Bohr magnetons per cell. Its offset from the most stable computed form is 889 meV per atom. As for the space group: No. 123.

a = 4.208 Å, b = 4.208 Å, c = 4.402 Å
α = 90.00°, β = 90.00°, γ = 90.00°
Positions (direct):
Al1 0.000 0.000 0.000
In1 0.500 0.500 0.500
N1 0.500 0.500 0.000
F1 0.000 0.500 0.500
F2 0.500 0.000 0.500

---

## ZrAlSn2Ru (GGA-PBE)

Data for a relaxed structure of ZrAlSn2Ru.

Output
As for the total moment: 0.00 Bohr magnetons per cell. Its formation enthalpy at 0 K is 645 meV per atom. As for the space group: No. 123.

a = 5.133 Å, b = 5.133 Å, c = 4.510 Å
α = 90.00°, β = 90.00°, γ = 90.00°
Positions (direct):
Zr1 0.000 0.000 0.000
Al1 0.500 0.500 0.500
Sn1 0.000 0.500 0.500
Sn2 0.500 0.000 0.500
Ru1 0.500 0.500 0.000

---

## PaNi4H4 (GGA-PBE)

Data for a relaxed structure of PaNi4H4.

Output
As for the total moment: 0.00 Bohr magnetons per cell. As for the energy: -0.1925 hartree per atom. As for the space group: No. 137.

a = 6.143 Å, b = 6.143 Å, c = 4.454 Å
α = 90.00°, β = 90.00°, γ = 90.00°
Positions (direct):
Pa1 0.250 0.750 0.250
Pa2 0.750 0.250 0.750
Ni1 0.043 0.250 0.230
Ni2 0.250 0.043 0.730
Ni3 0.250 0.457 0.730
Ni4 0.457 0.250 0.230
Ni5 0.543 0.750 0.770
Ni6 0.750 0.543 0.270
Ni7 0.750 0.957 0.270
Ni8 0.957 0.750 0.770
H1 0.095 0.250 0.599
H2 0.250 0.095 0.099
H3 0.250 0.405 0.099
H4 0.405 0.250 0.599
H5 0.595 0.750 0.401
H6 0.750 0.595 0.901
H7 0.750 0.905 0.901
H8 0.905 0.750 0.401

---

## Mn2NiW2 (GGA-PBE)

Data for a relaxed structure of Mn2NiW2.

Output
As for the total moment: 0.94 Bohr magnetons per cell. Its formation enthalpy at 0 K is 330 meV per atom. Its offset from the most stable computed form is 0 meV per atom. As for the space group: No. 127.

a = 6.808 Å, b = 6.808 Å, c = 2.929 Å
α = 90.00°, β = 90.00°, γ = 90.00°
Positions (direct):
Mn1 0.136 0.364 0.000
Mn2 0.364 0.864 0.000
Mn3 0.636 0.136 0.000
Mn4 0.864 0.636 0.000
Ni1 0.000 0.000 0.000
Ni2 0.500 0.500 0.000
W1 0.166 0.666 0.500
W2 0.334 0.166 0.500
W3 0.666 0.834 0.500
W4 0.834 0.334 0.500

---

## Y12Er7Bi (GGA-PBE)

Data for a relaxed structure of Y12Er7Bi.

Output
As for the total moment: 0.00 Bohr magnetons per cell. Its formation enthalpy at 0 K is 110 meV per atom. As for the space group: No. 166.

a = 8.892 Å, b = 8.892 Å, c = 8.892 Å
α = 76.38°, β = 76.38°, γ = 76.38°
Positions (direct):
Y1 0.022 0.022 0.661
Y2 0.022 0.661 0.022
Y3 0.269 0.269 0.648
Y4 0.269 0.648 0.269
Y5 0.339 0.978 0.978
Y6 0.352 0.731 0.731
Y7 0.648 0.269 0.269
Y8 0.661 0.022 0.022
Y9 0.731 0.352 0.731
Y10 0.731 0.731 0.352
Y11 0.978 0.339 0.978
Y12 0.978 0.978 0.339
Er1 0.000 0.000 0.000
Er2 0.013 0.359 0.359
Er3 0.359 0.013 0.359
Er4 0.359 0.359 0.013
Er5 0.641 0.641 0.987
Er6 0.641 0.987 0.641
Er7 0.987 0.641 0.641
Bi1 0.500 0.500 0.500

---

## CsCa2Ag (GGA-PBE)

Data for a relaxed structure of CsCa2Ag.

Output
As for the total moment: 0.00 Bohr magnetons per cell. Its formation enthalpy at 0 K is 244 meV per atom. Its offset from the most stable computed form is 206 meV per atom. As for the space group: No. 122.

a = 9.241 Å, b = 9.241 Å, c = 9.241 Å
α = 121.22°, β = 121.22°, γ = 87.91°
Positions (direct):
Cs1 0.000 0.000 0.000
Cs2 0.750 0.250 0.500
Ca1 0.372 0.625 0.247
Ca2 0.375 0.622 0.747
Ca3 0.378 0.125 0.753
Ca4 0.875 0.628 0.253
Ag1 0.250 0.750 0.500
Ag2 0.500 0.500 0.000

---

## TbNdEr2In4 (GGA-PBE)

Data for a relaxed structure of TbNdEr2In4.

Output
As for the total moment: 0.00 Bohr magnetons per cell. Its formation enthalpy at 0 K is -460 meV per atom. As for the space group: No. 166.

a = 9.272 Å, b = 9.272 Å, c = 9.272 Å
α = 33.47°, β = 33.47°, γ = 33.47°
Positions (direct):
Tb1 0.000 0.000 0.000
Nd1 0.500 0.500 0.500
Er1 0.250 0.250 0.250
Er2 0.750 0.750 0.750
In1 0.124 0.124 0.124
In2 0.374 0.374 0.374
In3 0.626 0.626 0.626
In4 0.876 0.876 0.876

---

## IrC3 (GGA-PBE)

Data for a relaxed structure of IrC3.

Output
As for the total moment: 0.00 Bohr magnetons per cell. Its formation enthalpy at 0 K is 2210 meV per atom. Its offset from the most stable computed form is 1494 meV per atom. As for the space group: No. 71.

a = 3.911 Å, b = 3.911 Å, c = 3.911 Å
α = 141.94°, β = 110.81°, γ = 81.80°
Positions (direct):
Ir1 0.000 0.000 0.000
C1 0.316 0.816 0.500
C2 0.500 0.500 0.000
C3 0.684 0.184 0.500

---

## Ba2SmMg (GGA-PBE)

Data for a relaxed structure of Ba2SmMg.

Output
As for the total moment: 0.79 Bohr magnetons per cell. Its formation enthalpy at 0 K is 148 meV per atom. Its offset from the most stable computed form is 0 meV per atom. As for the space group: No. 123.

a = 4.093 Å, b = 4.093 Å, c = 10.309 Å
α = 90.00°, β = 90.00°, γ = 90.00°
Positions (direct):
Ba1 0.000 0.000 0.229
Ba2 0.000 0.000 0.771
Sm1 0.500 0.500 0.500
Mg1 0.500 0.500 0.000

---

## Li2MgCdH (GGA-PBE)

Data for a relaxed structure of Li2MgCdH.

Output
As for the total moment: 0.00 Bohr magnetons per cell. Its offset from the most stable computed form is 0 meV per atom. As for the space group: No. 123.

a = 4.121 Å, b = 4.121 Å, c = 4.206 Å
α = 90.00°, β = 90.00°, γ = 90.00°
Positions (direct):
Li1 0.000 0.500 0.000
Li2 0.500 0.000 0.000
Mg1 0.000 0.000 0.500
Cd1 0.500 0.500 0.500
H1 0.000 0.000 0.000